# Ba2TlP, relaxed, DFT PBE-GGA
data_Ba2TlP
_chemical_formula_sum 'Ba4 Tl2 P2'
_space_group_name_H-M_alt 'C 1 2/m 1'
_space_group_IT_number 12
_space_group_name_Hall '-C 2y'
_cell_length_a 7.9435
_cell_length_b 4.5806
_cell_length_c 9.6491
_cell_angle_alpha 90.00
_cell_angle_beta 105.79
_cell_angle_gamma 90.00
loop_
_atom_site_label
_atom_site_fract_x
_atom_site_fract_y
_atom_site_fract_z
Ba1 0.2288 0.0000 0.1882
Tl1 0.0000 0.0000 0.5000
P1 0.0000 0.5000 0.0000
# Energy above the lowest structure with this stoichiometry, meV per atom: 27
# Formation energy, eV/atom: -0.603
# Final energy, eV/atom: -3.509
# Crystal system: monoclinic